This record from Alexandria via LeMat-Bulk describes a geometry-optimized AcInI4 structure. The functional is GGA-PBE.

Cell: 15.1488 4.9215 8.8602 Å, 90.00 99.68 90.00°
With the nearest neighbours (Å) after each atom.
Space group C2/m (No. 12)
One atom of each set of equivalent atoms:
Ac: 0.0000 0.0000 0.0000 [2 per cell]  6 I 3.22-3.33
In: 0.0000 0.5000 0.5000 [2 per cell]  6 I 3.49-3.60
I: 0.1181 0.0000 0.3381 [4 per cell]  1 Ac 3.22, 2 In 3.49
I: 0.1211 0.5000 0.8858 [4 per cell]  2 Ac 3.33, 1 In 3.60

Values from the calculation:
As for the crystal system: monoclinic.


This record from Alexandria via LeMat-Bulk describes a geometry-optimized Ac2InI structure. The functional is GGA-PBE.

Cell: 9.6635 19.2043 8.4148 Å, 90.00 125.04 90.00°
With the nearest neighbours (Å) after each atom.
Space group C2/c (No. 15)
One atom of each set of equivalent atoms:
Ac: 0.2349 0.1867 0.2673 [8 per cell]  3 In 3.33-3.36, 3 I 3.51-3.57
Ac: 0.2424 0.0620 0.7343 [8 per cell]  3 In 3.32-3.34, 3 I 3.46-3.55
In: 0.0000 0.0562 0.2500 [4 per cell]  6 Ac 3.32-3.34
In: 0.0000 0.3192 0.2500 [4 per cell]  6 Ac 3.32-3.36
I: 0.0000 0.1923 0.7500 [4 per cell]  6 Ac 3.48-3.57
I: 0.0000 0.4330 0.7500 [4 per cell]  6 Ac 3.46-3.55

Values from the calculation:
As for the crystal system: monoclinic. The value obtained for the energy above the lowest structure with this stoichiometry is 4.3 meV per atom.


Number 1: total magnetization 0.00 μB per formula unit, E -3.3419 eV/atom. Number 2: total magnetization 0.00 μB per formula unit, E -3.8014 eV/atom.